Material: SrCaPbI6
Method: DFT, PBE-GGA
State: optimized geometry

abc: 8.0608 8.0608 14.5661
angles: 90.00 90.00 120.00
Space group P-31c (No. 163)
Unique sites:
Sr (0.0000, 0.0000, 0.0000) x2
Ca (0.3333, 0.6667, 0.2500) x2
Pb (0.3333, 0.6667, 0.7500) x2
I (0.0101, 0.3506, 0.1254) x12

Computed properties:
- Fermi-level density of states: 0.00 states/eV/f.u.
- Final energy: -3.1451 eV per atom

---

Material: CaTi2PbI
Method: DFT, PBE-GGA
State: optimized geometry

abc: 5.381 5.381 6.043
angles: 90.00 90.00 90.00
Space group P4/mmm (No. 123)
Unique sites:
Ca (0.000, 0.000, 0.000) x1
Ti (0.000, 0.500, 0.500) x2
Pb (0.000, 0.000, 0.500) x1
I (0.500, 0.500, 0.000) x1

Computed properties:
- Fermi-level density of states: 4.09 states/eV/f.u.
- Final energy: -4.0922 eV per atom

---

Material: CaPb2WI
Method: DFT, PBE-GGA
State: optimized geometry

abc: 6.070 6.070 4.958
angles: 90.00 90.00 90.00
Space group P4/mmm (No. 123)
Unique sites:
Ca (0.000, 0.000, 0.000) x1
Pb (0.000, 0.500, 0.500) x2
W (0.500, 0.500, 0.000) x1
I (0.500, 0.500, 0.500) x1

Computed properties:
- Fermi-level density of states: 4.04 states/eV/f.u.
- Final energy: -3.5391 eV per atom

---

Material: CaPdI2
Method: DFT, PBE-GGA
State: optimized geometry

abc: 7.605 7.605 7.605
angles: 90.00 90.00 90.00
Space group Fm-3m (No. 225)
Unique sites:
Ca (0.000, 0.000, 0.000) x4
Pd (0.000, 0.000, 0.500) x4
I (0.250, 0.250, 0.250) x8

Computed properties:
- Fermi-level density of states: 0.00 states/eV/f.u.
- Polymorph energy (0 for the lowest one): 0.079 eV/atom
- Final energy: -3.2464 eV per atom

---

Material: CaPdI
Method: DFT, PBE-GGA
State: optimized geometry

abc: 11.431 4.150 7.212
angles: 90.00 90.00 90.00
Space group Amm2 (No. 38)
Unique sites:
Ca (0.159, 0.000, 0.000) x4
Pd (0.000, 0.000, 0.334) x2
Pd (0.500, 0.000, 0.028) x2
I (0.338, 0.000, 0.332) x4

Computed properties:
- Fermi-level density of states: 1.16 states/eV/f.u.
- Final energy: -3.4799 eV per atom

---

Material: CaPd3I
Method: DFT, PBE-GGA
State: optimized geometry

abc: 5.038 5.038 5.038
angles: 90.00 90.00 90.00
Space group Pm-3m (No. 221)
Unique sites:
Ca (0.000, 0.000, 0.000) x1
Pd (0.000, 0.000, 0.500) x3
I (0.500, 0.500, 0.500) x1

Computed properties:
- Fermi-level density of states: 2.71 states/eV/f.u.
- Polymorph energy (0 for the lowest one): 0.532 eV/atom
- Final energy: -3.2459 eV per atom

---

Material: CaPd2I
Method: DFT, PBE-GGA
State: optimized geometry

abc: 7.029 7.029 7.029
angles: 90.00 90.00 90.00
Space group Fm-3m (No. 225)
Unique sites:
Ca (0.000, 0.000, 0.000) x4
Pd (0.250, 0.250, 0.250) x8
I (0.000, 0.000, 0.500) x4

Computed properties:
- Fermi-level density of states: 1.29 states/eV/f.u.
- Polymorph energy (0 for the lowest one): 0.000 eV/atom
- Final energy: -3.8109 eV per atom

---

Material: CaPd2I
Method: DFT, PBE-GGA
State: optimized geometry

abc: 4.310 4.310 19.860
angles: 90.00 90.00 90.00
Space group I-42d (No. 122)
Unique sites:
Ca (0.000, 0.000, 0.000) x4
Pd (0.246, 0.250, 0.625) x8
I (0.000, 0.000, 0.500) x4

Computed properties:
- Fermi-level density of states: 1.10 states/eV/f.u.
- Polymorph energy (0 for the lowest one): 0.006 eV/atom
- Final energy: -3.8052 eV per atom